Entry from the Alexandria database: a relaxed structure of Y4MnCu (PBE).

Values from the calculation:
* energy of formation from the pure elements: 0.79 eV per atom
* total magnetic moment: 3.97 Bohr magnetons per cell
* density of states at the Fermi level: 6.82 states/eV/f.u.
* final energy: -34.4 eV for the cell shown
* mass density: 4.7 g/cm³
* calculated volume: 28.2 Å³/atom

Cell: 6.206 6.206 6.206 Å, 60.00 60.00 60.00°
Sites, in units of the cell vectors:
1 Y 0.876 0.375 0.375
2 Y 0.375 0.375 0.876
3 Y 0.375 0.876 0.375
4 Y 0.375 0.375 0.375
5 Mn 0.000 0.000 0.000
6 Cu 0.750 0.750 0.750